# Na2Tb2PaTe6, optimized geometry, DFT PBE
data_Na2Tb2PaTe6
_symmetry_space_group_name_H-M 'P 1'
_symmetry_Int_Tables_number 1
_cell_length_a 7.637
_cell_length_b 7.637
_cell_length_c 8.056
_cell_angle_alpha 99.21
_cell_angle_beta 99.21
_cell_angle_gamma 119.76
loop_
_symmetry_equiv_pos_as_xyz
'x,y,z'
loop_
_atom_site_label
_atom_site_fract_x
_atom_site_fract_y
_atom_site_fract_z
_atom_site_occupancy
Pa1 0.000 0.000 0.500 1
Te1 0.080 0.409 0.733 1
Te2 0.746 0.746 0.731 1
Te3 0.591 0.920 0.267 1
Te4 0.409 0.080 0.733 1
Te5 0.254 0.254 0.269 1
Te6 0.920 0.591 0.267 1
Na1 0.167 0.833 0.000 1
Na2 0.833 0.167 0.000 1
Tb1 0.333 0.667 0.500 1
Tb2 0.667 0.333 0.500 1
# ΔE_f (raw): -1172 meV/atom

# Pr2MgCd16, optimized geometry, DFT PBE
data_Pr2MgCd16
_symmetry_space_group_name_H-M 'P 1'
_symmetry_Int_Tables_number 1
_cell_length_a 7.685
_cell_length_b 7.685
_cell_length_c 7.685
_cell_angle_alpha 82.13
_cell_angle_beta 82.13
_cell_angle_gamma 82.13
loop_
_symmetry_equiv_pos_as_xyz
'x,y,z'
loop_
_atom_site_label
_atom_site_fract_x
_atom_site_fract_y
_atom_site_fract_z
_atom_site_occupancy
Cd1 0.105 0.105 0.105 1
Cd2 0.000 0.000 0.500 1
Cd3 0.643 0.152 0.643 1
Cd4 0.000 0.297 0.702 1
Cd5 0.297 0.702 0.000 1
Cd6 0.152 0.643 0.643 1
Cd7 0.000 0.500 0.000 1
Cd8 0.362 0.832 0.362 1
Cd9 0.297 0.000 0.702 1
Cd10 0.500 0.000 0.000 1
Cd11 0.702 0.297 0.000 1
Cd12 0.702 0.000 0.297 1
Cd13 0.362 0.362 0.832 1
Cd14 0.832 0.362 0.362 1
Cd15 0.643 0.643 0.152 1
Cd16 0.000 0.702 0.297 1
Pr1 0.668 0.668 0.668 1
Pr2 0.333 0.333 0.333 1
Mg1 0.905 0.905 0.905 1
# formation enthalpy at 0 K: -173.6 meV/atom

# Nd3Gd, optimized geometry, DFT PBE
data_Nd3Gd
_symmetry_space_group_name_H-M 'P 1'
_symmetry_Int_Tables_number 1
_cell_length_a 5.181
_cell_length_b 5.181
_cell_length_c 6.336
_cell_angle_alpha 114.13
_cell_angle_beta 114.13
_cell_angle_gamma 90.00
loop_
_symmetry_equiv_pos_as_xyz
'x,y,z'
loop_
_atom_site_label
_atom_site_fract_x
_atom_site_fract_y
_atom_site_fract_z
_atom_site_occupancy
Nd1 0.750 0.250 0.500 1
Nd2 0.250 0.750 0.500 1
Nd3 0.500 0.500 0.000 1
Gd1 0.000 0.000 0.000 1
# formation enthalpy at 0 K: 11.1 meV/atom
# energy above the most stable polymorph in this dataset: 2 meV per atom

# Ce7Al3Ga, optimized geometry, DFT PBE
data_Ce7Al3Ga
_symmetry_space_group_name_H-M 'P 1'
_symmetry_Int_Tables_number 1
_cell_length_a 5.575
_cell_length_b 7.877
_cell_length_c 7.877
_cell_angle_alpha 88.75
_cell_angle_beta 113.06
_cell_angle_gamma 113.06
loop_
_symmetry_equiv_pos_as_xyz
'x,y,z'
loop_
_atom_site_label
_atom_site_fract_x
_atom_site_fract_y
_atom_site_fract_z
_atom_site_occupancy
Ce1 0.000 0.500 0.500 1
Ce2 0.697 0.421 0.927 1
Ce3 0.303 0.579 0.073 1
Ce4 0.303 0.073 0.579 1
Ce5 0.802 0.817 0.817 1
Ce6 0.198 0.183 0.183 1
Ce7 0.697 0.927 0.421 1
Al1 0.000 0.770 0.230 1
Al2 0.500 0.000 0.000 1
Al3 0.000 0.230 0.770 1
Ga1 0.500 0.500 0.500 1
# formation enthalpy at 0 K: -115.5 meV/atom

# Pm7PdI12, optimized geometry, DFT PBE
data_Pm7PdI12
_symmetry_space_group_name_H-M 'P 1'
_symmetry_Int_Tables_number 1
_cell_length_a 9.966
_cell_length_b 9.966
_cell_length_c 9.966
_cell_angle_alpha 107.57
_cell_angle_beta 107.57
_cell_angle_gamma 107.57
loop_
_symmetry_equiv_pos_as_xyz
'x,y,z'
loop_
_atom_site_label
_atom_site_fract_x
_atom_site_fract_y
_atom_site_fract_z
_atom_site_occupancy
I1 0.682 0.226 0.076 1
I2 0.226 0.076 0.682 1
I3 0.774 0.924 0.318 1
I4 0.473 0.157 0.392 1
I5 0.924 0.318 0.774 1
I6 0.392 0.473 0.157 1
I7 0.157 0.392 0.473 1
I8 0.527 0.843 0.608 1
I9 0.843 0.608 0.527 1
I10 0.076 0.682 0.226 1
I11 0.608 0.527 0.843 1
I12 0.318 0.774 0.924 1
Pd1 0.000 0.000 0.000 1
Pm1 0.311 0.106 0.033 1
Pm2 0.894 0.967 0.689 1
Pm3 0.689 0.894 0.967 1
Pm4 0.967 0.689 0.894 1
Pm5 0.033 0.311 0.106 1
Pm6 0.500 0.500 0.500 1
Pm7 0.106 0.033 0.311 1
# ΔE_f (raw): -1247 meV/atom

# Th5Pa, optimized geometry, DFT PBE
data_Th5Pa
_symmetry_space_group_name_H-M 'P 1'
_symmetry_Int_Tables_number 1
_cell_length_a 3.480
_cell_length_b 3.480
_cell_length_c 17.825
_cell_angle_alpha 90.00
_cell_angle_beta 90.00
_cell_angle_gamma 120.00
loop_
_symmetry_equiv_pos_as_xyz
'x,y,z'
loop_
_atom_site_label
_atom_site_fract_x
_atom_site_fract_y
_atom_site_fract_z
_atom_site_occupancy
Th1 0.667 0.333 0.500 1
Th2 0.667 0.333 0.161 1
Th3 0.667 0.333 0.839 1
Th4 0.000 0.000 0.670 1
Th5 0.000 0.000 0.330 1
Pa1 0.000 0.000 0.000 1
# formation enthalpy at 0 K: 104.9 meV/atom
# energy above the most stable polymorph in this dataset: 42 meV per atom

# KPdBr, optimized geometry, DFT PBE
data_KPdBr
_symmetry_space_group_name_H-M 'P 1'
_symmetry_Int_Tables_number 1
_cell_length_a 14.907
_cell_length_b 6.465
_cell_length_c 6.465
_cell_angle_alpha 145.33
_cell_angle_beta 146.35
_cell_angle_gamma 33.65
loop_
_symmetry_equiv_pos_as_xyz
'x,y,z'
loop_
_atom_site_label
_atom_site_fract_x
_atom_site_fract_y
_atom_site_fract_z
_atom_site_occupancy
Br1 0.317 0.306 0.694 1
Br2 0.683 0.694 0.306 1
K1 0.288 0.611 0.389 1
K2 0.712 0.389 0.611 1
Pd1 0.893 0.901 0.099 1
Pd2 0.107 0.099 0.901 1
# ΔE_f (raw): -690 meV/atom
# energy above the most stable polymorph in this dataset: 21 meV per atom

# Er4SnPd15, optimized geometry, DFT PBE
data_Er4SnPd15
_symmetry_space_group_name_H-M 'P 1'
_symmetry_Int_Tables_number 1
_cell_length_a 4.097
_cell_length_b 4.097
_cell_length_c 20.391
_cell_angle_alpha 90.00
_cell_angle_beta 90.00
_cell_angle_gamma 90.00
loop_
_symmetry_equiv_pos_as_xyz
'x,y,z'
loop_
_atom_site_label
_atom_site_fract_x
_atom_site_fract_y
_atom_site_fract_z
_atom_site_occupancy
Er1 0.000 0.000 0.199 1
Er2 0.000 0.000 0.600 1
Er3 0.000 0.000 0.801 1
Er4 0.000 0.000 0.400 1
Pd1 0.500 0.500 0.000 1
Pd2 0.500 0.000 0.096 1
Pd3 0.000 0.500 0.298 1
Pd4 0.500 0.500 0.803 1
Pd5 0.000 0.500 0.904 1
Pd6 0.500 0.500 0.601 1
Pd7 0.000 0.500 0.096 1
Pd8 0.000 0.500 0.702 1
Pd9 0.500 0.500 0.197 1
Pd10 0.500 0.500 0.399 1
Pd11 0.500 0.000 0.500 1
Pd12 0.500 0.000 0.298 1
Pd13 0.500 0.000 0.702 1
Pd14 0.500 0.000 0.904 1
Pd15 0.000 0.500 0.500 1
Sn1 0.000 0.000 0.000 1
# formation enthalpy at 0 K: -824.7 meV/atom

# Pm5Dy8Er, optimized geometry, DFT PBE
data_Pm5Dy8Er
_symmetry_space_group_name_H-M 'P 1'
_symmetry_Int_Tables_number 1
_cell_length_a 8.474
_cell_length_b 8.457
_cell_length_c 8.474
_cell_angle_alpha 110.83
_cell_angle_beta 106.96
_cell_angle_gamma 110.73
loop_
_symmetry_equiv_pos_as_xyz
'x,y,z'
loop_
_atom_site_label
_atom_site_fract_x
_atom_site_fract_y
_atom_site_fract_z
_atom_site_occupancy
Dy1 0.340 0.264 0.430 1
Dy2 0.165 0.736 0.076 1
Dy3 0.664 0.396 0.919 1
Dy4 0.571 0.909 0.833 1
Dy5 0.523 0.604 0.268 1
Dy6 0.081 0.745 0.477 1
Dy7 0.732 0.255 0.336 1
Dy8 0.924 0.091 0.661 1
Er1 0.250 0.500 0.750 1
Pm1 0.866 0.896 0.188 1
Pm2 0.031 0.322 0.135 1
Pm3 0.813 0.678 0.708 1
Pm4 0.292 0.104 0.969 1
Pm5 0.500 0.000 0.500 1
# formation enthalpy at 0 K: 244.9 meV/atom

# Sm2Zn12Cu3Pt, optimized geometry, DFT PBE
data_Sm2Zn12Cu3Pt
_symmetry_space_group_name_H-M 'P 1'
_symmetry_Int_Tables_number 1
_cell_length_a 11.555
_cell_length_b 11.555
_cell_length_c 11.555
_cell_angle_alpha 29.07
_cell_angle_beta 29.07
_cell_angle_gamma 29.07
loop_
_symmetry_equiv_pos_as_xyz
'x,y,z'
loop_
_atom_site_label
_atom_site_fract_x
_atom_site_fract_y
_atom_site_fract_z
_atom_site_occupancy
Zn1 0.399 0.887 0.887 1
Zn2 0.601 0.113 0.113 1
Zn3 0.850 0.403 0.403 1
Zn4 0.597 0.597 0.150 1
Zn5 0.403 0.850 0.403 1
Zn6 0.113 0.113 0.601 1
Zn7 0.887 0.399 0.887 1
Zn8 0.403 0.403 0.850 1
Zn9 0.887 0.887 0.399 1
Zn10 0.150 0.597 0.597 1
Zn11 0.597 0.150 0.597 1
Zn12 0.113 0.601 0.113 1
Sm1 0.640 0.640 0.640 1
Sm2 0.360 0.360 0.360 1
Cu1 0.000 0.500 0.000 1
Cu2 0.000 0.000 0.500 1
Cu3 0.500 0.000 0.000 1
Pt1 0.000 0.000 0.000 1
# formation enthalpy at 0 K: -93.9 meV/atom

# Ac2PrAl, optimized geometry, DFT PBE
data_Ac2PrAl
_symmetry_space_group_name_H-M 'P 1'
_symmetry_Int_Tables_number 1
_cell_length_a 5.039
_cell_length_b 5.214
_cell_length_c 5.214
_cell_angle_alpha 90.00
_cell_angle_beta 90.00
_cell_angle_gamma 90.00
loop_
_symmetry_equiv_pos_as_xyz
'x,y,z'
loop_
_atom_site_label
_atom_site_fract_x
_atom_site_fract_y
_atom_site_fract_z
_atom_site_occupancy
Ac1 0.000 0.500 0.000 1
Ac2 0.000 0.000 0.500 1
Pr1 0.500 0.500 0.500 1
Al1 0.500 0.000 0.000 1
# formation enthalpy at 0 K: -63.3 meV/atom
# energy above the most stable polymorph in this dataset: 23 meV per atom

# LiMg6Cu, optimized geometry, DFT PBE
data_LiMg6Cu
_symmetry_space_group_name_H-M 'P 1'
_symmetry_Int_Tables_number 1
_cell_length_a 4.673
_cell_length_b 4.673
_cell_length_c 7.954
_cell_angle_alpha 72.92
_cell_angle_beta 72.92
_cell_angle_gamma 90.00
loop_
_symmetry_equiv_pos_as_xyz
'x,y,z'
loop_
_atom_site_label
_atom_site_fract_x
_atom_site_fract_y
_atom_site_fract_z
_atom_site_occupancy
Mg1 0.393 0.893 0.215 1
Mg2 0.750 0.750 0.500 1
Mg3 0.107 0.607 0.785 1
Mg4 0.250 0.250 0.500 1
Mg5 0.607 0.107 0.785 1
Mg6 0.893 0.393 0.215 1
Cu1 0.500 0.500 0.000 1
Li1 0.000 0.000 0.000 1
# formation enthalpy at 0 K: -45.4 meV/atom
# energy above the most stable polymorph in this dataset: 0 meV per atom

# Ca2Pd2Pt, optimized geometry, DFT PBE
data_Ca2Pd2Pt
_symmetry_space_group_name_H-M 'P 1'
_symmetry_Int_Tables_number 1
_cell_length_a 3.695
_cell_length_b 3.695
_cell_length_c 8.537
_cell_angle_alpha 77.50
_cell_angle_beta 77.50
_cell_angle_gamma 90.00
loop_
_symmetry_equiv_pos_as_xyz
'x,y,z'
loop_
_atom_site_label
_atom_site_fract_x
_atom_site_fract_y
_atom_site_fract_z
_atom_site_occupancy
Pd1 0.750 0.250 0.500 1
Pd2 0.250 0.750 0.500 1
Ca1 0.603 0.603 0.794 1
Ca2 0.397 0.397 0.206 1
Pt1 0.000 0.000 0.000 1
# formation enthalpy at 0 K: -542.5 meV/atom
# energy above the most stable polymorph in this dataset: 211 meV per atom

# NpPa2P, optimized geometry, DFT PBE
data_NpPa2P
_symmetry_space_group_name_H-M 'P 1'
_symmetry_Int_Tables_number 1
_cell_length_a 3.663
_cell_length_b 3.663
_cell_length_c 6.195
_cell_angle_alpha 90.00
_cell_angle_beta 90.00
_cell_angle_gamma 90.00
loop_
_symmetry_equiv_pos_as_xyz
'x,y,z'
loop_
_atom_site_label
_atom_site_fract_x
_atom_site_fract_y
_atom_site_fract_z
_atom_site_occupancy
Np1 0.500 0.500 0.000 1
Pa1 0.000 0.000 0.743 1
Pa2 0.000 0.000 0.257 1
P1 0.500 0.500 0.500 1
# formation enthalpy at 0 K: -243.4 meV/atom
# energy above the most stable polymorph in this dataset: 162 meV per atom

# ZrAs2SeBr, optimized geometry, DFT PBE
data_ZrAs2SeBr
_symmetry_space_group_name_H-M 'P 1'
_symmetry_Int_Tables_number 1
_cell_length_a 5.303
_cell_length_b 5.303
_cell_length_c 5.095
_cell_angle_alpha 90.00
_cell_angle_beta 90.00
_cell_angle_gamma 90.00
loop_
_symmetry_equiv_pos_as_xyz
'x,y,z'
loop_
_atom_site_label
_atom_site_fract_x
_atom_site_fract_y
_atom_site_fract_z
_atom_site_occupancy
Se1 0.000 0.000 0.500 1
As1 0.000 0.500 0.000 1
As2 0.500 0.000 0.000 1
Br1 0.500 0.500 0.500 1
Zr1 0.000 0.000 0.000 1
# ΔE_f (raw): 46 meV/atom
# energy above the most stable polymorph in this dataset: 0 meV per atom

# ZrCu2Tc2, optimized geometry, DFT PBE
data_ZrCu2Tc2
_symmetry_space_group_name_H-M 'P 1'
_symmetry_Int_Tables_number 1
_cell_length_a 6.703
_cell_length_b 6.703
_cell_length_c 3.362
_cell_angle_alpha 90.00
_cell_angle_beta 90.00
_cell_angle_gamma 90.00
loop_
_symmetry_equiv_pos_as_xyz
'x,y,z'
loop_
_atom_site_label
_atom_site_fract_x
_atom_site_fract_y
_atom_site_fract_z
_atom_site_occupancy
Zr1 0.500 0.500 0.000 1
Zr2 0.000 0.000 0.000 1
Tc1 0.170 0.670 0.500 1
Tc2 0.330 0.170 0.500 1
Tc3 0.830 0.330 0.500 1
Tc4 0.670 0.830 0.500 1
Cu1 0.125 0.375 0.000 1
Cu2 0.625 0.125 0.000 1
Cu3 0.375 0.875 0.000 1
Cu4 0.875 0.625 0.000 1
# formation enthalpy at 0 K: 233.6 meV/atom
# energy above the most stable polymorph in this dataset: 38 meV per atom

# FeCo6Ni3, optimized geometry, DFT PBE
data_FeCo6Ni3
_symmetry_space_group_name_H-M 'P 1'
_symmetry_Int_Tables_number 1
_cell_length_a 6.739
_cell_length_b 6.739
_cell_length_c 6.739
_cell_angle_alpha 63.17
_cell_angle_beta 63.17
_cell_angle_gamma 63.17
loop_
_symmetry_equiv_pos_as_xyz
'x,y,z'
loop_
_atom_site_label
_atom_site_fract_x
_atom_site_fract_y
_atom_site_fract_z
_atom_site_occupancy
Ni1 0.513 0.138 0.138 1
Ni2 0.862 0.862 0.487 1
Ni3 0.138 0.138 0.513 1
Ni4 0.487 0.862 0.862 1
Ni5 0.138 0.513 0.138 1
Ni6 0.862 0.487 0.862 1
Co1 0.738 0.113 0.738 1
Co2 0.503 0.503 0.164 1
Co3 0.164 0.503 0.503 1
Co4 0.738 0.738 0.113 1
Co5 0.497 0.836 0.497 1
Co6 0.887 0.262 0.262 1
Co7 0.497 0.497 0.836 1
Co8 0.113 0.738 0.738 1
Co9 0.836 0.497 0.497 1
Co10 0.503 0.164 0.503 1
Co11 0.262 0.262 0.887 1
Co12 0.262 0.887 0.262 1
Fe1 0.000 0.000 0.000 1
Fe2 0.500 0.500 0.500 1
# formation enthalpy at 0 K: 188.3 meV/atom

# MnFeMo2, optimized geometry, DFT PBE
data_MnFeMo2
_symmetry_space_group_name_H-M 'P 1'
_symmetry_Int_Tables_number 1
_cell_length_a 4.167
_cell_length_b 2.635
_cell_length_c 5.154
_cell_angle_alpha 77.55
_cell_angle_beta 90.00
_cell_angle_gamma 90.00
loop_
_symmetry_equiv_pos_as_xyz
'x,y,z'
loop_
_atom_site_label
_atom_site_fract_x
_atom_site_fract_y
_atom_site_fract_z
_atom_site_occupancy
Mn1 0.500 0.750 0.750 1
Fe1 0.500 0.250 0.250 1
Mo1 0.000 0.497 0.501 1
Mo2 0.000 0.003 0.999 1
# formation enthalpy at 0 K: 122.9 meV/atom
# energy above the most stable polymorph in this dataset: 14 meV per atom

# Ac3Sc2Ge4, optimized geometry, DFT PBE
data_Ac3Sc2Ge4
_symmetry_space_group_name_H-M 'P 1'
_symmetry_Int_Tables_number 1
_cell_length_a 4.398
_cell_length_b 6.848
_cell_length_c 9.393
_cell_angle_alpha 110.93
_cell_angle_beta 90.00
_cell_angle_gamma 108.73
loop_
_symmetry_equiv_pos_as_xyz
'x,y,z'
loop_
_atom_site_label
_atom_site_fract_x
_atom_site_fract_y
_atom_site_fract_z
_atom_site_occupancy
Ge1 0.906 0.811 0.590 1
Ge2 0.094 0.189 0.410 1
Ge3 0.280 0.559 0.934 1
Ge4 0.720 0.441 0.066 1
Ac1 0.609 0.219 0.696 1
Ac2 0.391 0.781 0.304 1
Ac3 0.000 0.000 0.000 1
Sc1 0.309 0.619 0.650 1
Sc2 0.691 0.381 0.350 1
# formation enthalpy at 0 K: -695.0 meV/atom
# energy above the most stable polymorph in this dataset: 9 meV per atom

# LaNd2Dy3, optimized geometry, DFT PBE
data_LaNd2Dy3
_symmetry_space_group_name_H-M 'P 1'
_symmetry_Int_Tables_number 1
_cell_length_a 5.134
_cell_length_b 8.110
_cell_length_c 11.450
_cell_angle_alpha 115.13
_cell_angle_beta 90.00
_cell_angle_gamma 108.45
loop_
_symmetry_equiv_pos_as_xyz
'x,y,z'
loop_
_atom_site_label
_atom_site_fract_x
_atom_site_fract_y
_atom_site_fract_z
_atom_site_occupancy
Dy1 0.957 0.914 0.620 1
Dy2 0.623 0.246 0.619 1
Dy3 0.289 0.579 0.619 1
Dy4 0.711 0.421 0.381 1
Dy5 0.377 0.754 0.381 1
Dy6 0.043 0.086 0.380 1
Nd1 0.459 0.918 0.129 1
Nd2 0.794 0.589 0.130 1
Nd3 0.206 0.411 0.870 1
Nd4 0.541 0.082 0.871 1
La1 0.874 0.748 0.871 1
La2 0.126 0.252 0.129 1
# formation enthalpy at 0 K: 22.8 meV/atom
# energy above the most stable polymorph in this dataset: 0 meV per atom

| no. | DOS(E_F) (states/eV/cell) | M_tot (μB per cell) |
| --- | --- | --- |
| 1 | 3.0 | 1.04 |
| 2 | 4.0 | 0.00 |
| 3 | 6.5 | 7.31 |
| 4 | 32.2 | 5.56 |
| 5 | 7.5 | 0.55 |
| 6 | 10.9 | 0.00 |
| 7 | 0.0 | 0.00 |
| 8 | 8.7 | 0.00 |
| 9 | 19.2 | 0.00 |
| 10 | 10.2 | 0.00 |
| 11 | 6.1 | 0.00 |
| 12 | 2.7 | 0.00 |
| 13 | 1.6 | 0.00 |
| 14 | 10.8 | 3.71 |
| 15 | 4.5 | 0.00 |
| 16 | 12.0 | 0.00 |
| 17 | 25.1 | 28.95 |
| 18 | 3.4 | 3.64 |
| 19 | 7.1 | 0.00 |
| 20 | 18.8 | 0.00 |